# 1
Computed, not measured: an optimized crystal structure of CsCeFeS4 at the PBE level of DFT.

Results
Calculated density   3.956 Mg/m³
Raw formation energy   -1.19 eV per atom

POSCAR file:
```
CsCeFeS4
1.0
6.556 0.000 0.000
0.000 6.451 0.000
-2.972 0.000 9.073
Cs Ce Fe S
2 2 2 8
direct
0.239 0.250 0.443 Cs
0.761 0.750 0.557 Cs
0.262 0.250 0.950 Ce
0.738 0.750 0.050 Ce
0.282 0.750 0.160 Fe
0.718 0.250 0.840 Fe
0.074 0.750 0.929 S
0.082 0.750 0.307 S
0.486 0.510 0.807 S
0.486 0.990 0.807 S
0.514 0.010 0.193 S
0.514 0.490 0.193 S
0.918 0.250 0.693 S
0.926 0.250 0.071 S
```

***

# 2
Computed, not measured: an optimized crystal structure of CuTeMo2 at the PBE level of DFT.

Results
Calculated density   9.446 Mg/m³
Raw formation energy   0.60 eV per atom

POSCAR file:
```
CuTeMo2
1.0
5.454 0.000 0.000
0.000 8.666 0.000
-0.958 0.000 2.849
Cu Te Mo
2 2 4
direct
0.000 0.000 0.000 Cu
0.500 0.500 0.000 Cu
0.000 0.500 0.000 Te
0.500 0.000 0.000 Te
0.250 0.250 0.500 Mo
0.250 0.750 0.500 Mo
0.750 0.250 0.500 Mo
0.750 0.750 0.500 Mo
```

***

# 3
Computed, not measured: an optimized crystal structure of KBa2MnBr8 at the PBE level of DFT.

Results
Calculated density   3.462 Mg/m³
Raw formation energy   -1.54 eV per atom

POSCAR file:
```
KBa2MnBr8
1.0
6.856 0.000 0.000
0.217 7.383 0.000
0.138 0.039 9.551
K Ba Mn Br
1 2 1 8
direct
0.000 0.000 0.000 K
0.487 0.495 0.264 Ba
0.513 0.505 0.736 Ba
0.000 0.000 0.500 Mn
0.203 0.859 0.685 Br
0.220 0.878 0.314 Br
0.233 0.319 0.512 Br
0.290 0.326 0.996 Br
0.710 0.674 0.004 Br
0.767 0.681 0.488 Br
0.780 0.122 0.686 Br
0.797 0.141 0.315 Br
```

***

| no. | final energy (eV per atom) |
| --- | --- |
| 1 | -5.727 |
| 2 | -6.622 |
| 3 | -3.826 |